A relaxed Cs4PtI6 crystal, computed with PBE.

Cell lengths 10.3161, 10.3161, 10.6529 Å; angles 90.00, 90.00, 90.00 degrees
Last column: magnetic moment on the atom in μB.
Positions (direct):
1 I 0.4015 0.7824 0.0000  0.05
2 I 0.2824 0.9015 0.5000  0.05
3 Pt 0.5000 0.5000 0.0000  0.46
4 I 0.9015 0.7176 0.5000  0.05
5 I 0.2176 0.4015 0.0000  0.05
6 Cs 0.8379 0.3379 0.7500  0.00
7 Cs 0.3379 0.1621 0.7500  0.00
8 I 0.0000 0.0000 0.2478  0.02
9 Cs 0.1621 0.6621 0.2500  0.00
10 I 0.7824 0.5985 0.0000  0.05
11 I 0.7176 0.0985 0.5000  0.05
12 Cs 0.3379 0.1621 0.2500  0.00
13 I 0.5000 0.5000 0.7478  0.02
14 I 0.0000 0.0000 0.7522  0.02
15 Cs 0.6621 0.8379 0.7500  0.00
16 I 0.5985 0.2176 0.0000  0.05
17 Cs 0.1621 0.6621 0.7500  0.00
18 I 0.5000 0.5000 0.2522  0.02
19 Pt 0.0000 0.0000 0.5000  0.46
20 I 0.0985 0.2824 0.5000  0.05
21 Cs 0.8379 0.3379 0.2500  0.00
22 Cs 0.6621 0.8379 0.2500  0.00

Computed properties:
ΔE_f (raw) ... -1.041 eV per atom
SG ... P4/mnc, No. 128
Crystal system ... tetragonal
Electronic total energy ... -30.2 eV/f.u.
Volume ... 51.53 A^3/atom
Total moment ... 1.76 Bohr magnetons per cell

***

A relaxed Ce3ErPd12 crystal, computed with PBE.

Cell lengths 4.1438, 4.1438, 16.5504 Å; angles 90.00, 90.00, 90.00 degrees
Last column: magnetic moment on the atom in μB.
Positions (direct):
1 Pd 0.0000 0.5000 0.6259  -0.02
2 Pd 0.0000 0.5000 0.3741  -0.02
3 Pd 0.5000 0.5000 0.0000  0.00
4 Ce 0.0000 0.0000 0.5000  0.39
5 Pd 0.5000 0.5000 0.7510  -0.02
6 Er 0.0000 0.0000 0.0000  0.00
7 Pd 0.0000 0.5000 0.8758  -0.01
8 Pd 0.5000 0.5000 0.5000  -0.02
9 Ce 0.0000 0.0000 0.2466  0.34
10 Pd 0.5000 0.5000 0.2490  -0.02
11 Pd 0.5000 0.0000 0.6259  -0.02
12 Pd 0.5000 0.0000 0.8758  -0.01
13 Ce 0.0000 0.0000 0.7534  0.34
14 Pd 0.0000 0.5000 0.1242  -0.01
15 Pd 0.5000 0.0000 0.3741  -0.02
16 Pd 0.5000 0.0000 0.1242  -0.01

Computed properties:
SG ... P4/mmm, No. 123
Crystal system ... tetragonal
Electronic total energy ... -98.4 eV/f.u.
Energy relative to the elements ... -856 meV/atom
Volume ... 17.76 A^3/atom
Total moment ... 0.97 Bohr magnetons per cell

***

A relaxed Ce2SiPt3 crystal, computed with PBE.

Cell lengths 5.7293, 5.7293, 8.5464 Å; angles 105.93, 105.93, 100.42 degrees
Last column: magnetic moment on the atom in μB.
Positions (direct):
1 Pt 0.3554 0.8205 0.1759  -0.01
2 Ce 0.7573 0.7573 0.0000  0.28
3 Pt 0.8214 0.8214 0.6428  0.00
4 Pt 0.1795 0.6446 0.8241  -0.01
5 Pt 0.1786 0.1786 0.3572  0.00
6 Ce 0.2427 0.2427 0.0000  0.28
7 Pt 0.6446 0.1795 0.8241  -0.01
8 Pt 0.8205 0.3554 0.1759  -0.01
9 Si 0.3340 0.3340 0.6680  0.00
10 Ce 0.7500 0.2500 0.5000  0.11
11 Si 0.6660 0.6660 0.3320  0.00
12 Ce 0.2500 0.7500 0.5000  0.11

Computed properties:
ΔE_f (raw) ... -1.065 eV per atom
SG ... Fmmm, No. 69
Crystal system ... orthorhombic
Electronic total energy ... -41.8 eV/f.u.
Volume ... 20.77 A^3/atom
Total moment ... 0.89 Bohr magnetons per cell

***

A relaxed Th2SiSbRh6 crystal, computed with PBE.

Cell lengths 5.5851, 8.1696, 8.6683 Å; angles 90.00, 90.00, 90.00 degrees
Positions (direct):
1 Rh 0.7451 0.4672 0.5000
2 Sb 0.0000 0.7267 0.5000
3 Rh 0.0000 0.9017 0.7525
4 Rh 0.7461 0.9949 0.0000
5 Rh 0.0000 0.9017 0.2475
6 Rh 0.7539 0.0051 0.5000
7 Rh 0.7549 0.5328 0.0000
8 Th 0.0000 0.2644 0.2656
9 Rh 0.5000 0.0983 0.7475
10 Rh 0.2539 0.9949 0.0000
11 Th 0.5000 0.7356 0.2344
12 Rh 0.2549 0.4672 0.5000
13 Rh 0.2451 0.5328 0.0000
14 Si 0.0000 0.7634 0.0000
15 Rh 0.5000 0.0983 0.2525
16 Rh 0.2461 0.0051 0.5000
17 Th 0.5000 0.7356 0.7656
18 Sb 0.5000 0.2733 0.0000
19 Si 0.5000 0.2366 0.5000
20 Th 0.0000 0.2644 0.7344

Computed properties:
ΔE_f (raw) ... -0.732 eV per atom
SG ... Pmmn, No. 59
Crystal system ... orthorhombic
Electronic total energy ... -75.8 eV/f.u.
Volume ... 19.78 A^3/atom
Total moment ... 0.00 Bohr magnetons per cell

***

A relaxed Ce2Ni2PbS6 crystal, computed with PBE.

Cell lengths 9.5713, 8.2656, 7.7251 Å; angles 112.00, 96.65, 27.15 degrees
Last column: magnetic moment on the atom in μB.
Positions (direct):
1 S 0.6364 0.4421 0.1362  0.01
2 Pb 0.5000 0.0000 0.5000  0.00
3 Ce 0.9910 0.8039 0.1828  -0.32
4 S 0.7348 0.4377 0.5376  0.02
5 S 0.2061 0.2030 0.1195  0.02
6 Ni 0.9222 0.9139 0.7970  0.06
7 S 0.3636 0.5579 0.8638  0.01
8 Ni 0.0778 0.0861 0.2030  0.06
9 S 0.7939 0.7970 0.8805  0.02
10 S 0.2652 0.5623 0.4624  0.02
11 Ce 0.0090 0.1961 0.8172  -0.32

Computed properties:
ΔE_f (raw) ... -1.067 eV per atom
SG ... P-1, No. 2
Crystal system ... triclinic
Electronic total energy ... -63.6 eV/f.u.
Volume ... 20.17 A^3/atom
Total moment ... 0.44 Bohr magnetons per cell

***

A relaxed BaGd2Rh crystal, computed with PBE.

Cell lengths 4.1287, 4.1287, 10.0465 Å; angles 78.14, 78.14, 60.00 degrees
Last column: magnetic moment on the atom in μB.
Positions (direct):
1 Rh 0.0000 0.0000 0.0000  0.03
2 Ba 0.5000 0.5000 0.5000  0.00
3 Gd 0.7160 0.7160 0.8520  -7.03
4 Gd 0.2840 0.2840 0.1480  -7.03

Computed properties:
SG ... R-3m, No. 166
Crystal system ... trigonal
Electronic total energy ... -38.9 eV/f.u.
Energy relative to the elements ... -364 meV/atom
Volume ... 36.02 A^3/atom
Total moment ... 14.26 Bohr magnetons per cell
Energy above the most stable polymorph in this dataset ... 0.00 eV/f.u.

***

A relaxed Li6Cd2AgH crystal, computed with PBE.

Cell lengths 6.1284, 5.8956, 5.3578 Å; angles 64.24, 70.91, 86.50 degrees
Positions (direct):
1 Li 0.1825 0.1389 0.5448
2 Ag 0.5000 0.5000 0.0000
3 Li 0.8175 0.8611 0.4552
4 Li 0.9091 0.3424 0.9041
5 H 0.0000 0.0000 0.0000
6 Li 0.0909 0.6576 0.0959
7 Li 0.7174 0.8979 0.9783
8 Cd 0.6875 0.3348 0.4842
9 Li 0.2826 0.1021 0.0217
10 Cd 0.3125 0.6652 0.5158

Computed properties:
SG ... P-1, No. 2
Crystal system ... triclinic
Electronic total energy ... -21.3 eV/f.u.
Volume ... 16.40 A^3/atom
Total moment ... 0.00 Bohr magnetons per cell

***

A relaxed CsYErTe3 crystal, computed with PBE.

Cell lengths 4.9232, 9.6603, 11.5137 Å; angles 116.11, 90.00, 90.00 degrees
Positions (direct):
1 Te 0.2500 0.1140 0.8777
2 Te 0.2500 0.7816 0.4613
3 Te 0.7500 0.2184 0.5387
4 Er 0.2500 0.1318 0.6294
5 Te 0.7500 0.8860 0.1223
6 Y 0.2500 0.6673 0.1178
7 Y 0.7500 0.3327 0.8822
8 Te 0.7500 0.5055 0.1742
9 Cs 0.7500 0.7620 0.7509
10 Cs 0.2500 0.2380 0.2491
11 Te 0.2500 0.4945 0.8258
12 Er 0.7500 0.8682 0.3706

Computed properties:
ΔE_f (raw) ... -1.241 eV per atom
SG ... P2_1/m, No. 11
Crystal system ... monoclinic
Electronic total energy ... -28.8 eV/f.u.
Volume ... 40.97 A^3/atom
Total moment ... 0.00 Bohr magnetons per cell